{"formula": "Sc2VP", "functional": "PBE-GGA", "state": "optimized geometry", "crystal_system": "trigonal", "de_polymorph_mev_per_atom": 157, "e_tot_ev_per_atom": -6.8478, "rho_g_cm3": 3.29, "magnetic_moment_mub_per_cell": 2.7, "formation_energy_kj_per_mol_fu": -19, "lattice_angstrom": [[1.9789, 0.0000, 8.5198], [-0.9895, 1.7138, 8.5198], [-0.9895, -1.7138, 8.5198]], "species": ["Sc", "Sc", "P", "V"], "frac_coords": [[0.8946, 0.8946, 0.8946], [0.1054, 0.1054, 0.1054], [0.5000, 0.5000, 0.5000], [0.0000, 0.0000, 0.0000]]}